[1]
PBE La2TbHo, optimized geometry; DOS at the Fermi energy = 6.9 states/eV/cell; magnetization = 0.0 μB per formula unit; formation enthalpy at 0 K = 0.025 eV per atom
1.0
-3.5011 -0.4629 -1.1158
-0.4171 -2.7475 2.4484
-3.0572 6.5799 6.8632
Tb Ho La
1 1 2
direct
0.5000 0.5000 0.5000
0.5000 0.5000 0.0000
0.0000 0.0000 0.7513
0.0000 0.0000 0.2487

[2]
PBE La8Tb5Ho, optimized geometry; DOS at the Fermi energy = 22.3 states/eV/cell; magnetization = 0.0 μB per formula unit; formation enthalpy at 0 K = 0.244 eV per atom
1.0
8.6754 -0.0791 0.1360
-3.0099 8.1369 -0.1360
-2.6556 -4.1534 7.1403
La Tb Ho
8 5 1
direct
0.1663 0.7294 0.0699
0.9301 0.0964 0.6595
0.7397 0.2638 0.3414
0.6586 0.3983 0.9223
0.5241 0.6017 0.2603
0.5631 0.9036 0.8337
0.3405 0.2706 0.4369
0.0777 0.7362 0.4759
0.0311 0.3066 0.1284
0.8716 0.9026 0.1782
0.8218 0.6934 0.7245
0.5000 0.0000 0.5000
0.2755 0.0974 0.9689
0.2500 0.5000 0.7500

[3]
PBE La4TbHo5, optimized geometry; DOS at the Fermi energy = 13.8 states/eV/cell; magnetization = 0.0 μB per formula unit; formation enthalpy at 0 K = 0.228 eV per atom
1.0
-5.2549 -2.4817 -1.6803
-0.6305 -7.7506 2.5294
-5.8179 1.1314 5.6338
La Tb Ho
4 1 5
direct
0.4635 0.3228 0.6772
0.7863 0.6772 0.6772
0.1407 0.3228 0.3228
0.4635 0.6772 0.3228
0.2040 0.0000 0.0000
0.7539 0.3770 0.0000
0.1309 0.0000 0.6230
0.7539 0.0000 0.3770
0.1309 0.6230 0.0000
0.6827 0.0000 0.0000

[4]
PBE La4Tb5Ho4, optimized geometry; DOS at the Fermi energy = 20.8 states/eV/cell; magnetization = 0.0 μB per formula unit; formation enthalpy at 0 K = 0.028 eV per atom
1.0
4.9552 -0.0026 1.2626
2.4723 9.1946 0.6332
0.2152 0.0018 9.5488
La Tb Ho
4 5 4
direct
0.9213 0.4600 0.6962
0.6178 0.3038 0.4602
0.0787 0.5400 0.3038
0.3822 0.6962 0.5398
0.6883 0.8523 0.7713
0.3117 0.1477 0.2287
0.0000 0.0000 0.0000
0.5406 0.7715 0.1475
0.4594 0.2285 0.8525
0.7709 0.3821 0.0763
0.2291 0.6179 0.9237
0.8471 0.9238 0.3820
0.1529 0.0762 0.6180